No. 1
# NaLi2Pt2 | the Alexandria database | PBE | relaxed
# - symmetry = I4/mmm (139)
# - energy above the most stable polymorph in this dataset (kJ per mole of atoms) = 25.25
# - calculated formation energy (kJ per mole of atoms) = -12.6
data_NaLi2Pt2
_chemical_formula_sum 'Na2 Li4 Pt4'
_cell_length_a 4.471
_cell_length_b 4.471
_cell_length_c 9.291
_cell_angle_alpha 90.00
_cell_angle_beta 90.00
_cell_angle_gamma 90.00
_space_group_name_H-M_alt 'P 1'
_space_group_IT_number 1
loop_
_space_group_symop_operation_xyz
'x,y,z'
loop_
_atom_site_label
_atom_site_fract_x
_atom_site_fract_y
_atom_site_fract_z
_atom_site_occupancy
Na1 0.000 0.000 0.000 1
Na2 0.500 0.500 0.500 1
Li1 0.000 0.500 0.250 1
Li2 0.000 0.500 0.750 1
Li3 0.500 0.000 0.250 1
Li4 0.500 0.000 0.750 1
Pt1 0.000 0.000 0.364 1
Pt2 0.000 0.000 0.636 1
Pt3 0.500 0.500 0.136 1
Pt4 0.500 0.500 0.864 1

***

No. 2
# Na3LiPt | the Alexandria database | PBE | relaxed
# - symmetry = Pm-3m (221)
# - energy above the most stable polymorph in this dataset (kJ per mole of atoms) = 0.00
# - calculated formation energy (kJ per mole of atoms) = 13.2
data_Na3LiPt
_chemical_formula_sum 'Na3 Li1 Pt1'
_cell_length_a 5.494
_cell_length_b 5.494
_cell_length_c 5.494
_cell_angle_alpha 90.00
_cell_angle_beta 90.00
_cell_angle_gamma 90.00
_space_group_name_H-M_alt 'P 1'
_space_group_IT_number 1
loop_
_space_group_symop_operation_xyz
'x,y,z'
loop_
_atom_site_label
_atom_site_fract_x
_atom_site_fract_y
_atom_site_fract_z
_atom_site_occupancy
Na1 0.000 0.000 0.500 1
Na2 0.000 0.500 0.000 1
Na3 0.500 0.000 0.000 1
Li1 0.500 0.500 0.500 1
Pt1 0.000 0.000 0.000 1

***

No. 3
# Na2LiPt2 | the Alexandria database | PBE | relaxed
# - symmetry = P4/mbm (127)
# - energy above the most stable polymorph in this dataset (kJ per mole of atoms) = 0.00
# - calculated formation energy (kJ per mole of atoms) = -2.7
data_Na2LiPt2
_chemical_formula_sum 'Na4 Li2 Pt4'
_cell_length_a 8.528
_cell_length_b 8.528
_cell_length_c 2.710
_cell_angle_alpha 90.00
_cell_angle_beta 90.00
_cell_angle_gamma 90.00
_space_group_name_H-M_alt 'P 1'
_space_group_IT_number 1
loop_
_space_group_symop_operation_xyz
'x,y,z'
loop_
_atom_site_label
_atom_site_fract_x
_atom_site_fract_y
_atom_site_fract_z
_atom_site_occupancy
Na1 0.120 0.380 0.000 1
Na2 0.380 0.880 0.000 1
Na3 0.620 0.120 0.000 1
Na4 0.880 0.620 0.000 1
Li1 0.000 0.000 0.000 1
Li2 0.500 0.500 0.000 1
Pt1 0.178 0.678 0.500 1
Pt2 0.322 0.178 0.500 1
Pt3 0.678 0.822 0.500 1
Pt4 0.822 0.322 0.500 1

***

No. 4
# Na2LiPt2 | the Alexandria database | PBE | relaxed
# - symmetry = P4/mbm (127)
# - energy above the most stable polymorph in this dataset (kJ per mole of atoms) = 4.58
# - calculated formation energy (kJ per mole of atoms) = 1.8
data_Na2LiPt2
_chemical_formula_sum 'Na4 Li2 Pt4'
_cell_length_a 8.280
_cell_length_b 8.280
_cell_length_c 2.871
_cell_angle_alpha 90.00
_cell_angle_beta 90.00
_cell_angle_gamma 90.00
_space_group_name_H-M_alt 'P 1'
_space_group_IT_number 1
loop_
_space_group_symop_operation_xyz
'x,y,z'
loop_
_atom_site_label
_atom_site_fract_x
_atom_site_fract_y
_atom_site_fract_z
_atom_site_occupancy
Na1 0.175 0.325 0.000 1
Na2 0.325 0.825 0.000 1
Na3 0.675 0.175 0.000 1
Na4 0.825 0.675 0.000 1
Li1 0.000 0.000 0.500 1
Li2 0.500 0.500 0.500 1
Pt1 0.120 0.620 0.500 1
Pt2 0.380 0.120 0.500 1
Pt3 0.620 0.880 0.500 1
Pt4 0.880 0.380 0.500 1

***

No. 5
# Na2LiPt2 | the Alexandria database | PBE | relaxed
# - symmetry = I4/mmm (139)
# - energy above the most stable polymorph in this dataset (kJ per mole of atoms) = 24.53
# - calculated formation energy (kJ per mole of atoms) = 21.8
data_Na2LiPt2
_chemical_formula_sum 'Na4 Li2 Pt4'
_cell_length_a 3.746
_cell_length_b 3.746
_cell_length_c 13.939
_cell_angle_alpha 90.00
_cell_angle_beta 90.00
_cell_angle_gamma 90.00
_space_group_name_H-M_alt 'P 1'
_space_group_IT_number 1
loop_
_space_group_symop_operation_xyz
'x,y,z'
loop_
_atom_site_label
_atom_site_fract_x
_atom_site_fract_y
_atom_site_fract_z
_atom_site_occupancy
Na1 0.000 0.500 0.250 1
Na2 0.000 0.500 0.750 1
Na3 0.500 0.000 0.250 1
Na4 0.500 0.000 0.750 1
Li1 0.000 0.000 0.000 1
Li2 0.500 0.500 0.500 1
Pt1 0.000 0.000 0.407 1
Pt2 0.000 0.000 0.593 1
Pt3 0.500 0.500 0.093 1
Pt4 0.500 0.500 0.907 1

***

No. 6
# NaLiPt2 | the Alexandria database | PBE | relaxed
# - symmetry = I4_1/amd (141)
# - energy above the most stable polymorph in this dataset (kJ per mole of atoms) = 18.92
# - calculated formation energy (kJ per mole of atoms) = 12.1
data_NaLiPt2
_chemical_formula_sum 'Na4 Li4 Pt8'
_cell_length_a 4.902
_cell_length_b 4.902
_cell_length_c 17.127
_cell_angle_alpha 90.00
_cell_angle_beta 90.00
_cell_angle_gamma 90.00
_space_group_name_H-M_alt 'P 1'
_space_group_IT_number 1
loop_
_space_group_symop_operation_xyz
'x,y,z'
loop_
_atom_site_label
_atom_site_fract_x
_atom_site_fract_y
_atom_site_fract_z
_atom_site_occupancy
Na1 0.000 0.250 0.375 1
Na2 0.000 0.750 0.625 1
Na3 0.500 0.250 0.125 1
Na4 0.500 0.750 0.875 1
Li1 0.000 0.250 0.875 1
Li2 0.000 0.750 0.125 1
Li3 0.500 0.250 0.625 1
Li4 0.500 0.750 0.375 1
Pt1 0.000 0.000 0.000 1
Pt2 0.000 0.500 0.000 1
Pt3 0.250 0.250 0.750 1
Pt4 0.250 0.750 0.250 1
Pt5 0.500 0.000 0.500 1
Pt6 0.500 0.500 0.500 1
Pt7 0.750 0.250 0.750 1
Pt8 0.750 0.750 0.250 1

***

No. 7
# RbNaLiPt2 | the Alexandria database | PBE | relaxed
# - symmetry = P4/mmm (123)
# - calculated formation energy (kJ per mole of atoms) = 65.5
data_RbNaLiPt2
_chemical_formula_sum 'Rb1 Na1 Li1 Pt2'
_cell_length_a 5.096
_cell_length_b 5.096
_cell_length_c 5.264
_cell_angle_alpha 90.00
_cell_angle_beta 90.00
_cell_angle_gamma 90.00
_space_group_name_H-M_alt 'P 1'
_space_group_IT_number 1
loop_
_space_group_symop_operation_xyz
'x,y,z'
loop_
_atom_site_label
_atom_site_fract_x
_atom_site_fract_y
_atom_site_fract_z
_atom_site_occupancy
Rb1 0.000 0.000 0.000 1
Na1 0.000 0.000 0.500 1
Li1 0.500 0.500 0.000 1
Pt1 0.000 0.500 0.500 1
Pt2 0.500 0.000 0.500 1

***

No. 8
# RbNaLi2Pt | the Alexandria database | PBE | relaxed
# - symmetry = P4/mmm (123)
# - calculated formation energy (kJ per mole of atoms) = -7.1
data_RbNaLi2Pt
_chemical_formula_sum 'Rb1 Na1 Li2 Pt1'
_cell_length_a 5.067
_cell_length_b 5.067
_cell_length_c 5.662
_cell_angle_alpha 90.00
_cell_angle_beta 90.00
_cell_angle_gamma 90.00
_space_group_name_H-M_alt 'P 1'
_space_group_IT_number 1
loop_
_space_group_symop_operation_xyz
'x,y,z'
loop_
_atom_site_label
_atom_site_fract_x
_atom_site_fract_y
_atom_site_fract_z
_atom_site_occupancy
Rb1 0.000 0.000 0.000 1
Na1 0.500 0.500 0.000 1
Li1 0.000 0.500 0.500 1
Li2 0.500 0.000 0.500 1
Pt1 0.500 0.500 0.500 1

***

No. 9
# Na2LiSb3Pt4 | the Alexandria database | PBE | relaxed
# - symmetry = P-4m2 (115)
# - DFT total energy (eV per atom) = -4.6033
data_Na2LiSb3Pt4
_chemical_formula_sum 'Na2 Li1 Sb3 Pt4'
_cell_length_a 4.475
_cell_length_b 4.475
_cell_length_c 10.876
_cell_angle_alpha 90.00
_cell_angle_beta 90.00
_cell_angle_gamma 90.00
_space_group_name_H-M_alt 'P 1'
_space_group_IT_number 1
loop_
_space_group_symop_operation_xyz
'x,y,z'
loop_
_atom_site_label
_atom_site_fract_x
_atom_site_fract_y
_atom_site_fract_z
_atom_site_occupancy
Na1 0.000 0.500 0.247 1
Na2 0.500 0.000 0.753 1
Li1 0.500 0.500 0.000 1
Sb1 0.000 0.000 0.000 1
Sb2 0.000 0.500 0.635 1
Sb3 0.500 0.000 0.365 1
Pt1 0.000 0.000 0.500 1
Pt2 0.000 0.500 0.872 1
Pt3 0.500 0.000 0.128 1
Pt4 0.500 0.500 0.500 1

***

No. 10
# NaLi2SbPt | the Alexandria database | PBE | relaxed
# - symmetry = P4/mmm (123)
# - DFT total energy (eV per atom) = -2.5876
data_NaLi2SbPt
_chemical_formula_sum 'Na1 Li2 Sb1 Pt1'
_cell_length_a 4.386
_cell_length_b 4.386
_cell_length_c 5.164
_cell_angle_alpha 90.00
_cell_angle_beta 90.00
_cell_angle_gamma 90.00
_space_group_name_H-M_alt 'P 1'
_space_group_IT_number 1
loop_
_space_group_symop_operation_xyz
'x,y,z'
loop_
_atom_site_label
_atom_site_fract_x
_atom_site_fract_y
_atom_site_fract_z
_atom_site_occupancy
Na1 0.000 0.000 0.000 1
Li1 0.000 0.500 0.000 1
Li2 0.500 0.000 0.000 1
Sb1 0.000 0.000 0.500 1
Pt1 0.500 0.500 0.500 1

***

No. 11
# NaLiSbPt | the Alexandria database | PBE | relaxed
# - symmetry = F-43m (216)
# - DFT total energy (eV per atom) = -3.8151
data_NaLiSbPt
_chemical_formula_sum 'Na4 Li4 Sb4 Pt4'
_cell_length_a 6.617
_cell_length_b 6.617
_cell_length_c 6.617
_cell_angle_alpha 90.00
_cell_angle_beta 90.00
_cell_angle_gamma 90.00
_space_group_name_H-M_alt 'P 1'
_space_group_IT_number 1
loop_
_space_group_symop_operation_xyz
'x,y,z'
loop_
_atom_site_label
_atom_site_fract_x
_atom_site_fract_y
_atom_site_fract_z
_atom_site_occupancy
Na1 0.000 0.000 0.000 1
Na2 0.000 0.500 0.500 1
Na3 0.500 0.000 0.500 1
Na4 0.500 0.500 0.000 1
Li1 0.250 0.250 0.750 1
Li2 0.250 0.750 0.250 1
Li3 0.750 0.250 0.250 1
Li4 0.750 0.750 0.750 1
Sb1 0.000 0.000 0.500 1
Sb2 0.000 0.500 0.000 1
Sb3 0.500 0.000 0.000 1
Sb4 0.500 0.500 0.500 1
Pt1 0.250 0.250 0.250 1
Pt2 0.250 0.750 0.750 1
Pt3 0.750 0.250 0.750 1
Pt4 0.750 0.750 0.250 1

***

No. 12
# NaLi2SiPt | the Alexandria database | PBE | relaxed
# - symmetry = P4/mmm (123)
# - DFT total energy (eV per atom) = -3.6632
data_NaLi2SiPt
_chemical_formula_sum 'Na1 Li2 Si1 Pt1'
_cell_length_a 4.887
_cell_length_b 4.887
_cell_length_c 4.545
_cell_angle_alpha 90.00
_cell_angle_beta 90.00
_cell_angle_gamma 90.00
_space_group_name_H-M_alt 'P 1'
_space_group_IT_number 1
loop_
_space_group_symop_operation_xyz
'x,y,z'
loop_
_atom_site_label
_atom_site_fract_x
_atom_site_fract_y
_atom_site_fract_z
_atom_site_occupancy
Na1 0.000 0.000 0.000 1
Li1 0.000 0.500 0.500 1
Li2 0.500 0.000 0.500 1
Si1 0.500 0.500 0.000 1
Pt1 0.500 0.500 0.500 1

***

No. 13
# Na2LiSi3Pt4 | the Alexandria database | PBE | relaxed
# - symmetry = P-4m2 (115)
# - DFT total energy (eV per atom) = -5.1436
data_Na2LiSi3Pt4
_chemical_formula_sum 'Na2 Li1 Si3 Pt4'
_cell_length_a 4.163
_cell_length_b 4.163
_cell_length_c 9.938
_cell_angle_alpha 90.00
_cell_angle_beta 90.00
_cell_angle_gamma 90.00
_space_group_name_H-M_alt 'P 1'
_space_group_IT_number 1
loop_
_space_group_symop_operation_xyz
'x,y,z'
loop_
_atom_site_label
_atom_site_fract_x
_atom_site_fract_y
_atom_site_fract_z
_atom_site_occupancy
Na1 0.000 0.500 0.243 1
Na2 0.500 0.000 0.757 1
Li1 0.500 0.500 0.000 1
Si1 0.000 0.000 0.000 1
Si2 0.000 0.500 0.630 1
Si3 0.500 0.000 0.370 1
Pt1 0.000 0.000 0.500 1
Pt2 0.000 0.500 0.866 1
Pt3 0.500 0.000 0.134 1
Pt4 0.500 0.500 0.500 1